The following is a GGA-PBE calculation of crystalline V4InTe8 at its relaxed geometry, from Alexandria via LeMat-Bulk.

Summary:
Formation energy without anion corrections: -0.322 eV per atom
Calculated density: 6.37 g/cm3
Crystal system: cubic

a b c (Å): 11.177 11.177 11.177
angles (deg): 90.00 90.00 90.00
Space group F-43m (No. 216)
Symmetry-distinct sites (fractional):
1 V 0.103 0.103 0.103 (multiplicity 16)
2 In 0.000 0.000 0.500 (multiplicity 4)
3 Te 0.131 0.131 0.869 (multiplicity 16)
4 Te 0.143 0.143 0.357 (multiplicity 16)